a) Crystalline Ag2RuBr at its relaxed geometry, computed with PBE.

```
Ag2RuBr
1.0
-0.591 -1.674 2.304
0.415 -2.509 -1.717
8.441 -0.057 2.124
Br Ag Ru
1 2 1
direct
0.500 0.500 0.250
0.000 0.000 0.973
0.000 0.000 0.527
0.500 0.500 0.750
```

Results
mass density: 8.5 g cm⁻³
space-group type: Pmmm

b) Crystalline Ag2RuBr at its relaxed geometry, computed with PBE.

```
Ag2RuBr
1.0
-0.176 0.473 2.987
-0.027 -2.798 -1.161
9.729 -0.357 0.630
Ru Ag Br
1 2 1
direct
0.500 0.500 0.743
0.000 0.000 0.985
0.500 0.500 0.234
0.000 0.000 0.538
```

Results
mass density: 8.6 g cm⁻³
space-group type: Cmm2

What should be chosen as the most stable of them? Choose b).

a) Crystalline BC2 at its relaxed geometry, computed with PBE.

```
BC2
1.0
2.530 0.000 0.000
-1.265 2.191 0.000
0.000 0.000 13.608
C B
8 4
direct
0.000 0.000 0.002
0.667 0.333 0.192
0.000 0.000 0.888
0.333 0.667 0.040
0.000 0.000 0.501
0.667 0.333 0.850
0.333 0.667 0.540
0.333 0.667 0.153
0.667 0.333 0.308
0.333 0.667 0.656
0.000 0.000 0.385
0.667 0.333 0.734
```

Results
mass density: 3.1 g cm⁻³
space-group type: P-3m1

b) Crystalline BC2 at its relaxed geometry, computed with PBE.

```
BC2
1.0
-0.986 1.379 2.045
-4.100 -1.661 -0.857
0.935 -5.239 3.985
C B
8 4
direct
0.500 0.167 0.916
0.500 0.186 0.686
0.000 0.000 0.000
0.500 0.499 0.995
0.000 0.323 0.336
0.500 0.843 0.580
0.000 0.668 0.921
0.000 0.981 0.230
0.500 0.895 0.344
0.000 0.272 0.573
0.000 0.738 0.687
0.500 0.429 0.230
```

Results
mass density: 2.9 g cm⁻³
space-group type: P2_1/m

What should be chosen as the most stable of them? Choose a).

a) Crystalline BaPt2Au at its relaxed geometry, computed with PBE.

```
BaPt2Au
1.0
-3.139 -1.736 -0.450
1.211 -1.384 -3.109
2.664 -5.749 3.598
Pt Au Ba
2 1 1
direct
0.000 0.000 0.089
0.500 0.500 0.189
0.000 0.000 0.466
0.500 0.500 0.756
```

Results
mass density: 12.6 g cm⁻³
space-group type: P4mm

b) Crystalline BaPt2Au at its relaxed geometry, computed with PBE.

```
BaPt2Au
1.0
0.000 3.540 3.540
3.540 0.000 3.540
3.540 3.540 0.000
Pt Au Ba
2 1 1
direct
0.250 0.250 0.250
0.750 0.750 0.750
0.500 0.500 0.500
0.000 0.000 0.000
```

Results
mass density: 13.6 g cm⁻³
space-group type: Fm-3m

What should be chosen as the most stable of them? Choose a).

a) Crystalline B5C7 at its relaxed geometry, computed with PBE.

```
B5C7
1.0
-4.307 -1.277 1.665
-1.913 -4.028 1.751
2.878 2.618 3.639
C B
7 5
direct
0.887 0.422 0.582
0.684 0.661 0.836
0.934 0.414 0.070
0.586 0.066 0.930
0.339 0.316 0.164
0.578 0.113 0.418
0.969 0.031 0.500
0.251 0.723 0.273
0.685 0.669 0.329
0.277 0.749 0.727
0.979 0.021 0.000
0.331 0.315 0.671
```

Results
mass density: 2.9 g cm⁻³
space-group type: C2

b) Crystalline B5C7 at its relaxed geometry, computed with PBE.

```
B5C7
1.0
-0.941 2.389 3.842
-0.013 -4.618 0.150
4.583 0.795 -0.499
C B
7 5
direct
0.018 0.007 0.986
0.886 0.870 0.632
0.655 0.340 0.995
0.203 0.551 0.609
0.370 0.358 0.121
0.530 0.194 0.639
0.171 0.841 0.512
0.507 0.502 0.498
0.722 0.053 0.082
0.351 0.628 0.969
0.995 0.725 0.151
0.842 0.181 0.559
```

Results
mass density: 2.8 g cm⁻³
space-group type: P1

What should be chosen as the most stable of them? Choose a).

a) Crystalline KY2Mn at its relaxed geometry, computed with PBE.

```
KY2Mn
1.0
-1.118 1.175 3.657
-3.498 -0.983 1.675
3.270 -8.503 5.332
Y Mn K
2 1 1
direct
0.533 0.533 0.401
0.967 0.967 0.099
0.250 0.250 0.250
0.750 0.750 0.750
```

Results
mass density: 3.3 g cm⁻³
space-group type: C2/m

b) Crystalline KY2Mn at its relaxed geometry, computed with PBE.

```
KY2Mn
1.0
11.132 0.634 -0.299
9.730 5.445 0.299
-10.373 -3.237 2.515
Y K Mn
2 1 1
direct
0.763 0.263 0.500
0.101 0.101 0.000
0.439 0.439 0.000
0.197 0.697 0.500
```

Results
mass density: 3.3 g cm⁻³
space-group type: Imm2

What should be chosen as the most stable of them? Choose a).

a) Crystalline CdMo2P at its relaxed geometry, computed with PBE.

```
CdMo2P
1.0
0.000 3.149 3.149
3.149 0.000 3.149
3.149 3.149 0.000
P Cd Mo
1 1 2
direct
0.000 0.000 0.000
0.500 0.500 0.500
0.250 0.250 0.250
0.750 0.750 0.750
```

Results
mass density: 8.9 g cm⁻³
space-group type: Fm-3m

b) Crystalline CdMo2P at its relaxed geometry, computed with PBE.

```
CdMo2P
1.0
-1.054 0.520 4.309
-2.584 -1.445 -0.458
1.009 -5.201 0.874
Cd Mo P
1 2 1
direct
0.500 0.689 0.746
0.000 0.035 0.053
0.500 0.429 0.274
0.000 0.347 0.427
```

Results
mass density: 8.1 g cm⁻³
space-group type: Pm

What should be chosen as the most stable of them? Choose b).

a) Crystalline KTaCl2 at its relaxed geometry, computed with PBE.

```
KTaCl2
1.0
8.017 -0.002 0.000
6.051 5.258 0.000
-7.034 -2.628 2.808
Cl K Ta
2 1 1
direct
0.000 0.000 0.000
0.250 0.750 0.500
0.500 0.500 0.000
0.750 0.250 0.500
```

Results
mass density: 4.1 g cm⁻³
space-group type: I-4m2

b) Crystalline KTaCl2 at its relaxed geometry, computed with PBE.

```
KTaCl2
1.0
5.276 0.000 0.000
0.000 5.276 0.000
0.000 0.000 3.193
Cl Ta K
2 1 1
direct
0.500 0.500 0.000
0.000 0.000 0.000
0.000 0.500 0.500
0.500 0.000 0.500
```

Results
mass density: 5.4 g cm⁻³
space-group type: P4/mmm

What should be chosen as the most stable of them? Choose b).